A plane-wave DFT calculation with GGA-PBE was carried out for a relaxed SnAu crystal.

Unit cell a=4.8243 b=4.8243 c=5.6509 alpha=90.00 beta=90.00 gamma=120.00
Last column: nearest neighbours and their distance in Å.
Atoms (fractional coordinates):
Sn 0.3333 0.6667 0.2500  5 Au 2.79-2.83
Sn 0.6667 0.3333 0.7500  5 Au 2.79-2.83
Au 0.3333 0.6667 0.7500  5 Sn 2.79-2.83
Au 0.6667 0.3333 0.2500  5 Sn 2.79-2.83

A plane-wave DFT calculation with GGA-PBE was carried out for a relaxed Sn5Au6 crystal.

Unit cell a=4.1035 b=4.1525 c=15.0102 alpha=97.95 beta=88.75 gamma=90.00
Last column: nearest neighbours and their distance in Å.
Atoms (fractional coordinates):
Sn 0.4369 0.8015 0.6029  6 Au 2.86-3.08
Sn 0.5631 0.1985 0.3971  6 Au 2.86-3.08
Sn 0.0365 0.6226 0.2452  4 Au 2.75-2.81
Sn 0.9635 0.3774 0.7548  4 Au 2.75-2.81
Sn 0.0000 0.0000 0.0000  4 Au 2.96
Au 0.3991 0.5437 0.0873  3 Au 2.71-2.85, 3 Sn 2.75-2.96
Au 0.6009 0.4563 0.9127  3 Au 2.71-2.85, 3 Sn 2.75-2.96
Au 0.0984 0.7165 0.4331  6 Sn 2.81-3.08, 2 Au 2.98
Au 0.9016 0.2835 0.5669  6 Sn 2.81-3.08, 2 Au 2.98
Au 0.3916 0.8979 0.7957  3 Sn 2.80-2.87, 2 Au 2.85
Au 0.6084 0.1021 0.2043  3 Sn 2.80-2.87, 2 Au 2.85

Respective D(E_F) values: 1.4 3.9 states/eV/cell.
Respective calculated formation energy values: -0.07 -0.12 eV per atom.
Respective V values: 28.5 23.0 Å³ per atom.